<A>
Density functional theory data (PBE) for Na3VPt after structural relaxation.

Results
- SG = Pm-3m (221)
- D(E_F) (states/eV/f.u.) = 9.44

Cell: 5.372 5.372 5.372 Å, 90.00 90.00 90.00°
Site moments in Bohr magnetons follow the coordinates.
Sites, in units of the cell vectors:
Na (0.000, 0.500, 0.000)  0.04
Na (0.000, 0.000, 0.500)  0.04
Na (0.500, 0.000, 0.000)  0.04
Pt (0.500, 0.500, 0.500)  -0.05
V (0.000, 0.000, 0.000)  3.42

=====

<B>
Density functional theory data (PBE) for Na3VPt after structural relaxation.

Results
- SG = Pm-3m (221)
- D(E_F) (states/eV/f.u.) = 13.09

Cell: 5.408 5.408 5.408 Å, 90.00 90.00 90.00°
Site moments in Bohr magnetons follow the coordinates.
Sites, in units of the cell vectors:
Na (0.000, 0.500, 0.000)  0.01
Na (0.000, 0.000, 0.500)  0.01
Na (0.500, 0.000, 0.000)  0.01
Pt (0.000, 0.000, 0.000)  0.04
V (0.500, 0.500, 0.500)  3.22

=====

Sorted by energy, starting with the most stable: <B>, <A>.

=====

<A>
Density functional theory data (PBE) for NaPtW3 after structural relaxation.

Results
- SG = Pm-3m (221)
- D(E_F) (states/eV/f.u.) = 3.38

Cell: 4.439 4.439 4.439 Å, 90.00 90.00 90.00°
Sites, in units of the cell vectors:
Na (0.000, 0.000, 0.000)
W (0.000, 0.500, 0.000)
W (0.000, 0.000, 0.500)
W (0.500, 0.000, 0.000)
Pt (0.500, 0.500, 0.500)

=====

<B>
Density functional theory data (PBE) for NaPtW3 after structural relaxation.

Results
- SG = Pm-3m (221)
- D(E_F) (states/eV/f.u.) = 4.95

Cell: 4.867 4.867 4.867 Å, 90.00 90.00 90.00°
Sites, in units of the cell vectors:
Na (0.500, 0.500, 0.500)
W (0.000, 0.500, 0.000)
W (0.000, 0.000, 0.500)
W (0.500, 0.000, 0.000)
Pt (0.000, 0.000, 0.000)

=====

Sorted by energy, starting with the most stable: <B>, <A>.